Here is a relaxed Ac4Tl3Zn crystal from Alexandria via LeMat-Bulk. Energies are from PBE.

Lattice parameters (Å, degrees): 3.975 3.975 17.144 90.00 90.00 90.00
Fractional positions:
Ac 0.000 0.000 0.630
Ac 0.000 0.000 0.370
Ac 0.000 0.000 0.110
Ac 0.000 0.000 0.890
Tl 0.500 0.500 0.500
Tl 0.500 0.500 0.762
Tl 0.500 0.500 0.238
Zn 0.500 0.500 0.000

Properties
For the formation enthalpy at 0 K, the calculation gives -0.33 eV per atom. As for the calculated density: 9727 kg/m³. Its space-group type is P4/mmm. Its electronic total energy is -27.41 eV for the cell shown. As for the excess energy over the best structure of this formula in the dataset: 0 meV per atom.


Here is a relaxed Ac4TlZn2 crystal from Alexandria via LeMat-Bulk. Energies are from PBE.

Lattice parameters (Å, degrees): 5.597 5.597 9.509 72.88 72.88 60.00
Fractional positions:
Zn 0.252 0.252 0.245
Zn 0.748 0.748 0.755
Ac 0.870 0.870 0.390
Ac 0.382 0.382 0.853
Ac 0.618 0.618 0.147
Ac 0.130 0.130 0.610
Tl 0.000 0.000 0.000

Properties
For the formation enthalpy at 0 K, the calculation gives -0.16 eV per atom. As for the calculated density: 8508 kg/m³. Its space-group type is R-3m. Its electronic total energy is -22.48 eV for the cell shown. As for the excess energy over the best structure of this formula in the dataset: 0 meV per atom.


Here is a relaxed Ac4TlZn2 crystal from Alexandria via LeMat-Bulk. Energies are from PBE.

Lattice parameters (Å, degrees): 5.504 5.504 10.129 74.23 74.23 60.00
Fractional positions:
Ac 0.294 0.294 0.118
Ac 0.706 0.706 0.882
Ac 0.880 0.880 0.359
Ac 0.120 0.120 0.641
Tl 0.500 0.500 0.500
Zn 0.403 0.403 0.790
Zn 0.597 0.597 0.210

Properties
For the formation enthalpy at 0 K, the calculation gives -0.09 eV per atom. As for the calculated density: 8180 kg/m³. Its space-group type is R-3m. Its electronic total energy is -22.00 eV for the cell shown. As for the excess energy over the best structure of this formula in the dataset: 69 meV per atom.


Here is a relaxed Ac6Tl5Zn crystal from Alexandria via LeMat-Bulk. Energies are from PBE.

Lattice parameters (Å, degrees): 10.229 7.188 7.220 60.15 83.16 76.15
Fractional positions:
Ac 0.230 0.937 0.669
Ac 0.728 0.776 0.000
Ac 0.230 0.606 0.331
Ac 0.770 0.063 0.331
Ac 0.272 0.224 0.000
Ac 0.770 0.394 0.669
Zn 0.000 0.000 0.000
Tl 0.000 0.366 0.267
Tl 0.500 0.200 0.600
Tl 0.500 0.800 0.400
Tl 0.500 0.500 0.000
Tl 0.000 0.634 0.733

Properties
For the formation enthalpy at 0 K, the calculation gives -0.21 eV per atom. As for the calculated density: 9099 kg/m³. Its space-group type is C2/m. Its electronic total energy is -40.32 eV for the cell shown. As for the excess energy over the best structure of this formula in the dataset: 112 meV per atom.


Here is a relaxed Ac3Tl2Zn2 crystal from Alexandria via LeMat-Bulk. Energies are from PBE.

Lattice parameters (Å, degrees): 4.264 6.710 9.049 112.48 90.00 108.53
Fractional positions:
Zn 0.810 0.620 0.055
Zn 0.190 0.380 0.945
Tl 0.039 0.078 0.338
Tl 0.961 0.922 0.662
Ac 0.311 0.622 0.340
Ac 0.689 0.378 0.660
Ac 0.500 0.000 0.000

Properties
For the formation enthalpy at 0 K, the calculation gives -0.31 eV per atom. As for the calculated density: 9021 kg/m³. Its space-group type is C2/m. Its electronic total energy is -21.74 eV for the cell shown.


Here is a relaxed Ac2Tl3Zn crystal from Alexandria via LeMat-Bulk. Energies are from PBE.

Lattice parameters (Å, degrees): 4.111 5.050 8.926 90.00 90.00 90.00
Fractional positions:
Ac 0.000 0.500 0.006
Ac 0.000 0.000 0.496
Tl 0.500 0.000 0.837
Tl 0.500 0.500 0.647
Tl 0.500 0.000 0.184
Zn 0.500 0.500 0.329

Properties
For the formation enthalpy at 0 K, the calculation gives -0.28 eV per atom. As for the calculated density: 10147 kg/m³. Its space-group type is Pmm2. Its electronic total energy is -18.25 eV for the cell shown. As for the excess energy over the best structure of this formula in the dataset: 4 meV per atom.


What did the sixth record say?
Here is a relaxed Ac2Tl3Zn crystal from Alexandria via LeMat-Bulk. Energies are from PBE.

Lattice parameters (Å, degrees): 4.111 5.050 8.926 90.00 90.00 90.00
Fractional positions:
Ac 0.000 0.500 0.006
Ac 0.000 0.000 0.496
Tl 0.500 0.000 0.837
Tl 0.500 0.500 0.647
Tl 0.500 0.000 0.184
Zn 0.500 0.500 0.329

Properties
For the formation enthalpy at 0 K, the calculation gives -0.28 eV per atom. As for the calculated density: 10147 kg/m³. Its space-group type is Pmm2. Its electronic total energy is -18.25 eV for the cell shown. As for the excess energy over the best structure of this formula in the dataset: 4 meV per atom.


What did the second record say?
Here is a relaxed Ac4TlZn2 crystal from Alexandria via LeMat-Bulk. Energies are from PBE.

Lattice parameters (Å, degrees): 5.597 5.597 9.509 72.88 72.88 60.00
Fractional positions:
Zn 0.252 0.252 0.245
Zn 0.748 0.748 0.755
Ac 0.870 0.870 0.390
Ac 0.382 0.382 0.853
Ac 0.618 0.618 0.147
Ac 0.130 0.130 0.610
Tl 0.000 0.000 0.000

Properties
For the formation enthalpy at 0 K, the calculation gives -0.16 eV per atom. As for the calculated density: 8508 kg/m³. Its space-group type is R-3m. Its electronic total energy is -22.48 eV for the cell shown. As for the excess energy over the best structure of this formula in the dataset: 0 meV per atom.


Question: Look up the formation enthalpy at 0 K of the third one.
Answer: -0.09 eV per atom


Question: What is the electronic total energy in the second record?
Answer: -22.48 eV for the cell shown